Computed, not measured: a relaxed VTeN2F crystal at the GGA+U level of DFT.

Lattice parameters (Å, degrees): 3.9885 3.9885 3.8825 90.00 90.00 90.00
With the nearest neighbours (Å) after each atom.
Space group P4/mmm (No. 123)
Symmetry-distinct sites (fractional):
V (0.0000, 0.0000, 0.0000) (multiplicity 1)  2 F 1.94, 4 N 1.99
Te (0.5000, 0.5000, 0.5000) (multiplicity 1)  8 N 2.78, 4 F 2.82
N (0.0000, 0.5000, 0.0000) (multiplicity 2)  2 V 1.99
F (0.0000, 0.0000, 0.5000) (multiplicity 1)  2 V 1.94

Output
Excess energy over the best structure of this formula in the dataset   0 meV/atom
E   -27.93 eV for the cell shown
V   61.8 Å³ per cell